1.
{
  "formula": "Sm4TlHg5",
  "functional": "PBE",
  "state": "relaxed",
  "lattice_angstrom": [[3.8506, 0.0000, 0.0000], [0.0000, 3.8506, 0.0000], [0.0000, 0.0000, 18.2986]],
  "species": ["Sm", "Sm", "Sm", "Sm", "Tl", "Hg", "Hg", "Hg", "Hg", "Hg"],
  "fractional_positions": [[0.0000, 0.0000, 0.1015], [0.0000, 0.0000, 0.3055], [0.0000, 0.0000, 0.6945], [0.0000, 0.0000, 0.8985], [0.0000, 0.0000, 0.5000], [0.5000, 0.5000, 0.0000], [0.5000, 0.5000, 0.2014], [0.5000, 0.5000, 0.3998], [0.5000, 0.5000, 0.6002], [0.5000, 0.5000, 0.7986]],
  "sg": "No. 123",
  "ef_ev_per_fu": -3.99
}


2.
{
  "formula": "SmIrC",
  "functional": "PBE",
  "state": "relaxed",
  "lattice_angstrom": [[3.8516, 0.0000, 0.0000], [0.0000, 3.8516, 0.0000], [0.0000, 0.0000, 7.2245]],
  "species": ["Sm", "Sm", "Ir", "Ir", "C", "C"],
  "fractional_positions": [[0.0000, 0.0000, 0.2500], [0.0000, 0.0000, 0.7500], [0.5000, 0.5000, 0.0000], [0.5000, 0.5000, 0.5000], [0.0000, 0.5000, 0.0000], [0.5000, 0.0000, 0.5000]],
  "sg": "No. 131",
  "ef_ev_per_fu": -1.35,
  "polymorph_energy_ev_per_atom": 0.000
}


3.
{
  "formula": "Pr2Nd3Tm2",
  "functional": "PBE",
  "state": "relaxed",
  "lattice_angstrom": [[12.0105, 0.0000, 0.0000], [0.0000, 3.6452, 0.0000], [-1.0916, 0.0000, 10.8384]],
  "species": ["Pr", "Pr", "Pr", "Pr", "Nd", "Nd", "Nd", "Nd", "Nd", "Nd", "Tm", "Tm", "Tm", "Tm"],
  "fractional_positions": [[0.2170, 0.0000, 0.3547], [0.2830, 0.5000, 0.6453], [0.7170, 0.5000, 0.3547], [0.7830, 0.0000, 0.6453], [0.0000, 0.5000, 0.5000], [0.1410, 0.5000, 0.0693], [0.3590, 0.0000, 0.9307], [0.5000, 0.0000, 0.5000], [0.6410, 0.0000, 0.0693], [0.8590, 0.5000, 0.9307], [0.0701, 0.0000, 0.7872], [0.4299, 0.5000, 0.2128], [0.5701, 0.5000, 0.7872], [0.9299, 0.0000, 0.2128]],
  "sg": "No. 12",
  "ef_ev_per_fu": 0.10,
  "polymorph_energy_ev_per_atom": 0.000
}


4.
{
  "formula": "DyBeGa2",
  "functional": "PBE",
  "state": "relaxed",
  "lattice_angstrom": [[3.9956, 0.0000, 0.0000], [-1.9978, 3.4603, 0.0000], [0.0000, 0.0000, 15.5617]],
  "species": ["Dy", "Dy", "Dy", "Be", "Be", "Be", "Ga", "Ga", "Ga", "Ga", "Ga", "Ga"],
  "fractional_positions": [[0.0000, 0.0000, 0.0000], [0.3333, 0.6667, 0.6667], [0.6667, 0.3333, 0.3333], [0.0000, 0.0000, 0.5000], [0.3333, 0.6667, 0.1667], [0.6667, 0.3333, 0.8333], [0.0000, 0.0000, 0.2144], [0.0000, 0.0000, 0.7856], [0.3333, 0.6667, 0.4523], [0.3333, 0.6667, 0.8811], [0.6667, 0.3333, 0.1189], [0.6667, 0.3333, 0.5477]],
  "sg": "No. 166",
  "ef_ev_per_fu": -1.48
}


5.
{
  "formula": "RbHg3Pt",
  "functional": "PBE",
  "state": "relaxed",
  "lattice_angstrom": [[8.3304, 0.0000, 0.0000], [0.0000, 6.9409, 0.0000], [-6.7991, 0.0000, 9.6618]],
  "species": ["Rb", "Rb", "Rb", "Rb", "Hg", "Hg", "Hg", "Hg", "Hg", "Hg", "Hg", "Hg", "Hg", "Hg", "Hg", "Hg", "Pt", "Pt", "Pt", "Pt"],
  "fractional_positions": [[0.0602, 0.2441, 0.0284], [0.0602, 0.2559, 0.5284], [0.9398, 0.7441, 0.4716], [0.9398, 0.7559, 0.9716], [0.1533, 0.5257, 0.3142], [0.1533, 0.9743, 0.8142], [0.2788, 0.5129, 0.8820], [0.2788, 0.9871, 0.3820], [0.4569, 0.5917, 0.2351], [0.4569, 0.9083, 0.7351], [0.5431, 0.0917, 0.2649], [0.5431, 0.4083, 0.7649], [0.7212, 0.0129, 0.6180], [0.7212, 0.4871, 0.1180], [0.8467, 0.0257, 0.1858], [0.8467, 0.4743, 0.6858], [0.4834, 0.6634, 0.5662], [0.4834, 0.8366, 0.0662], [0.5166, 0.1634, 0.9338], [0.5166, 0.3366, 0.4338]],
  "sg": "No. 14",
  "ef_ev_per_fu": -0.64,
  "polymorph_energy_ev_per_atom": 0.153
}


6.
{
  "formula": "HfBeRhI2",
  "functional": "PBE",
  "state": "relaxed",
  "lattice_angstrom": [[5.3966, 0.0000, 0.0000], [0.0000, 5.3966, 0.0000], [0.0000, 0.0000, 4.9690]],
  "species": ["Hf", "Be", "Rh", "I", "I"],
  "fractional_positions": [[0.0000, 0.0000, 0.0000], [0.5000, 0.5000, 0.0000], [0.0000, 0.0000, 0.5000], [0.0000, 0.5000, 0.5000], [0.5000, 0.0000, 0.5000]],
  "e_form_raw_mev_per_atom": 876.4,
  "sg": "No. 123",
  "polymorph_energy_ev_per_atom": 0.184
}


7.
{
  "formula": "SrHg2Pt2",
  "functional": "PBE",
  "state": "relaxed",
  "lattice_angstrom": [[7.7227, 0.0000, 0.0000], [0.0000, 7.7227, 0.0000], [0.0000, 0.0000, 3.6803]],
  "species": ["Sr", "Sr", "Hg", "Hg", "Hg", "Hg", "Pt", "Pt", "Pt", "Pt"],
  "fractional_positions": [[0.0000, 0.0000, 0.0000], [0.5000, 0.5000, 0.0000], [0.1674, 0.3326, 0.5000], [0.3326, 0.8326, 0.5000], [0.6674, 0.1674, 0.5000], [0.8326, 0.6674, 0.5000], [0.1269, 0.6269, 0.0000], [0.3731, 0.1269, 0.0000], [0.6269, 0.8731, 0.0000], [0.8731, 0.3731, 0.0000]],
  "sg": "No. 127",
  "ef_ev_per_fu": -1.52,
  "polymorph_energy_ev_per_atom": 0.135
}


8.
{
  "formula": "Cs2NaZnHg",
  "functional": "PBE",
  "state": "relaxed",
  "lattice_angstrom": [[7.3607, 0.0000, 0.0000], [0.0000, 7.3607, 0.0000], [0.0000, 0.0000, 5.1442]],
  "species": ["Cs", "Cs", "Na", "Zn", "Hg"],
  "fractional_positions": [[0.0000, 0.5000, 0.0000], [0.5000, 0.0000, 0.0000], [0.0000, 0.0000, 0.5000], [0.5000, 0.5000, 0.0000], [0.5000, 0.5000, 0.5000]],
  "sg": "No. 123",
  "ef_ev_per_fu": 0.27,
  "polymorph_energy_ev_per_atom": 0.000
}


9.
{
  "formula": "Y3Ir5S12",
  "functional": "PBE",
  "state": "relaxed",
  "lattice_angstrom": [[-7.4056, 7.4056, 7.4056], [7.4056, -7.4056, 7.4056], [7.4056, 7.4056, -7.4056]],
  "species": ["Y", "Y", "Y", "Y", "Y", "Y", "Y", "Y", "Y", "Y", "Y", "Y", "Ir", "Ir", "Ir", "Ir", "Ir", "Ir", "Ir", "Ir", "Ir", "Ir", "Ir", "Ir", "Ir", "Ir", "Ir", "Ir", "Ir", "Ir", "Ir", "Ir", "S", "S", "S", "S", "S", "S", "S", "S", "S", "S", "S", "S", "S", "S", "S", "S", "S", "S", "S", "S", "S", "S", "S", "S", "S", "S", "S", "S", "S", "S", "S", "S", "S", "S", "S", "S", "S", "S", "S", "S", "S", "S", "S", "S", "S", "S", "S", "S"],
  "fractional_positions": [[0.1250, 0.2500, 0.3750], [0.1250, 0.3750, 0.7500], [0.2500, 0.3750, 0.1250], [0.2500, 0.8750, 0.6250], [0.3750, 0.1250, 0.2500], [0.3750, 0.7500, 0.1250], [0.6250, 0.2500, 0.8750], [0.6250, 0.8750, 0.7500], [0.7500, 0.1250, 0.3750], [0.7500, 0.6250, 0.8750], [0.8750, 0.6250, 0.2500], [0.8750, 0.7500, 0.6250], [0.0000, 0.0000, 0.0000], [0.0000, 0.0000, 0.5000], [0.0000, 0.5000, 0.0000], [0.0000, 0.5000, 0.5000], [0.1250, 0.7500, 0.8750], [0.1250, 0.8750, 0.2500], [0.2500, 0.1250, 0.8750], [0.2500, 0.6250, 0.3750], [0.3750, 0.2500, 0.6250], [0.3750, 0.6250, 0.7500], [0.5000, 0.0000, 0.0000], [0.5000, 0.0000, 0.5000], [0.5000, 0.5000, 0.0000], [0.5000, 0.5000, 0.5000], [0.6250, 0.3750, 0.2500], [0.6250, 0.7500, 0.3750], [0.7500, 0.3750, 0.6250], [0.7500, 0.8750, 0.1250], [0.8750, 0.1250, 0.7500], [0.8750, 0.2500, 0.1250], [0.0307, 0.2056, 0.1190], [0.0307, 0.3250, 0.9117], [0.0867, 0.7056, 0.6750], [0.0867, 0.8810, 0.4117], [0.0883, 0.6190, 0.4133], [0.0883, 0.9693, 0.6750], [0.1190, 0.0307, 0.2056], [0.1190, 0.5883, 0.9133], [0.1750, 0.2056, 0.5867], [0.1750, 0.4693, 0.5883], [0.2056, 0.1190, 0.0307], [0.2056, 0.5867, 0.1750], [0.2944, 0.3250, 0.9133], [0.2944, 0.4693, 0.3810], [0.3250, 0.9117, 0.0307], [0.3250, 0.9133, 0.2944], [0.3810, 0.2944, 0.4693], [0.3810, 0.5867, 0.9117], [0.4117, 0.0867, 0.8810], [0.4117, 0.8250, 0.5307], [0.4133, 0.0883, 0.6190], [0.4133, 0.8250, 0.7944], [0.4693, 0.3810, 0.2944], [0.4693, 0.5883, 0.1750], [0.5307, 0.4117, 0.8250], [0.5307, 0.6190, 0.7056], [0.5867, 0.1750, 0.2056], [0.5867, 0.9117, 0.3810], [0.5883, 0.1750, 0.4693], [0.5883, 0.9133, 0.1190], [0.6190, 0.4133, 0.0883], [0.6190, 0.7056, 0.5307], [0.6750, 0.0867, 0.7056], [0.6750, 0.0883, 0.9693], [0.7056, 0.5307, 0.6190], [0.7056, 0.6750, 0.0867], [0.7944, 0.4133, 0.8250], [0.7944, 0.8810, 0.9693], [0.8250, 0.5307, 0.4117], [0.8250, 0.7944, 0.4133], [0.8810, 0.4117, 0.0867], [0.8810, 0.9693, 0.7944], [0.9117, 0.0307, 0.3250], [0.9117, 0.3810, 0.5867], [0.9133, 0.1190, 0.5883], [0.9133, 0.2944, 0.3250], [0.9693, 0.6750, 0.0883], [0.9693, 0.7944, 0.8810]],
  "e_form_raw_mev_per_atom": -715.7,
  "sg": "No. 230"
}


10.
{
  "formula": "Sc2NbCl",
  "functional": "PBE",
  "state": "relaxed",
  "lattice_angstrom": [[3.3112, 0.0000, 0.0000], [-1.6556, 2.8676, 0.0000], [0.0000, 0.0000, 28.5240]],
  "species": ["Sc", "Sc", "Sc", "Sc", "Sc", "Sc", "Nb", "Nb", "Nb", "Cl", "Cl", "Cl"],
  "fractional_positions": [[0.0000, 0.0000, 0.0872], [0.0000, 0.0000, 0.9128], [0.3333, 0.6667, 0.5795], [0.3333, 0.6667, 0.7539], [0.6667, 0.3333, 0.2461], [0.6667, 0.3333, 0.4205], [0.0000, 0.0000, 0.5000], [0.3333, 0.6667, 0.1667], [0.6667, 0.3333, 0.8333], [0.0000, 0.0000, 0.0000], [0.3333, 0.6667, 0.6667], [0.6667, 0.3333, 0.3333]],
  "e_form_raw_mev_per_atom": -343.5,
  "sg": "No. 166",
  "polymorph_energy_ev_per_atom": 0.000
}


11.
{
  "formula": "HfAlAu",
  "functional": "PBE",
  "state": "relaxed",
  "lattice_angstrom": [[9.8778, 0.0000, 0.0000], [0.0000, 4.1244, 0.0000], [-0.1538, 0.0000, 5.4386]],
  "species": ["Hf", "Hf", "Hf", "Hf", "Al", "Al", "Al", "Al", "Au", "Au", "Au", "Au"],
  "fractional_positions": [[0.0000, 0.0000, 0.0000], [0.0954, 0.5000, 0.5024], [0.5000, 0.5000, 0.0000], [0.5954, 0.0000, 0.5024], [0.1931, 0.5000, 0.0080], [0.2870, 0.0000, 0.2697], [0.6931, 0.0000, 0.0080], [0.7870, 0.5000, 0.2697], [0.2892, 0.0000, 0.7786], [0.4011, 0.5000, 0.4851], [0.7892, 0.5000, 0.7786], [0.9011, 0.0000, 0.4851]],
  "sg": "No. 8",
  "ef_ev_per_fu": -1.30
}


12.
{
  "formula": "NaAgPbCl5",
  "functional": "PBE",
  "state": "relaxed",
  "lattice_angstrom": [[3.9524, -6.5713, 0.0000], [3.9524, 6.5713, 0.0000], [-3.5392, 0.0000, 9.5343]],
  "species": ["Na", "Na", "Ag", "Ag", "Pb", "Pb", "Cl", "Cl", "Cl", "Cl", "Cl", "Cl", "Cl", "Cl", "Cl", "Cl"],
  "fractional_positions": [[0.0827, 0.9173, 0.7500], [0.9173, 0.0827, 0.2500], [0.2086, 0.7914, 0.2500], [0.7914, 0.2086, 0.7500], [0.5000, 0.5000, 0.0000], [0.5000, 0.5000, 0.5000], [0.0781, 0.2327, 0.9413], [0.1568, 0.5054, 0.3635], [0.2327, 0.0781, 0.4413], [0.4199, 0.5801, 0.7500], [0.4946, 0.8432, 0.1365], [0.5054, 0.1568, 0.8635], [0.5801, 0.4199, 0.2500], [0.7673, 0.9219, 0.5587], [0.8432, 0.4946, 0.6365], [0.9219, 0.7673, 0.0587]],
  "e_form_raw_mev_per_atom": -951.4,
  "sg": "No. 15"
}


13.
{
  "formula": "WBr2",
  "functional": "PBE",
  "state": "relaxed",
  "lattice_angstrom": [[15.3040, 0.0000, 0.0000], [0.0000, 3.3127, 0.0000], [-2.7016, 0.0000, 7.4605]],
  "species": ["W", "W", "W", "W", "Br", "Br", "Br", "Br", "Br", "Br", "Br", "Br"],
  "fractional_positions": [[0.0172, 0.0000, 0.1532], [0.4828, 0.5000, 0.8468], [0.5172, 0.5000, 0.1532], [0.9828, 0.0000, 0.8468], [0.1018, 0.5000, 0.8000], [0.1540, 0.5000, 0.2657], [0.3460, 0.0000, 0.7343], [0.3982, 0.0000, 0.2000], [0.6018, 0.0000, 0.8000], [0.6540, 0.0000, 0.2657], [0.8460, 0.5000, 0.7343], [0.8982, 0.5000, 0.2000]],
  "e_form_raw_mev_per_atom": -195.8,
  "sg": "No. 12",
  "polymorph_energy_ev_per_atom": 0.271
}


14.
{
  "formula": "Hf2PAu",
  "functional": "PBE",
  "state": "relaxed",
  "lattice_angstrom": [[3.5748, 0.0000, 0.0000], [-1.7874, 3.0959, 0.0000], [0.0000, 0.0000, 21.2383]],
  "species": ["Hf", "Hf", "Hf", "Hf", "Hf", "Hf", "P", "P", "P", "Au", "Au", "Au"],
  "fractional_positions": [[0.0000, 0.0000, 0.0000], [0.0000, 0.0000, 0.1916], [0.3333, 0.6667, 0.6667], [0.3333, 0.6667, 0.8583], [0.6667, 0.3333, 0.3333], [0.6667, 0.3333, 0.5249], [0.0000, 0.0000, 0.5968], [0.3333, 0.6667, 0.2635], [0.6667, 0.3333, 0.9302], [0.0000, 0.0000, 0.4290], [0.3333, 0.6667, 0.0957], [0.6667, 0.3333, 0.7623]],
  "sg": "No. 160",
  "ef_ev_per_fu": -3.14
}


15.
{
  "formula": "Ho4ScRh3",
  "functional": "PBE",
  "state": "relaxed",
  "lattice_angstrom": [[-5.4378, 5.4378, 2.9759], [5.4378, -5.4378, 2.9759], [5.4378, 5.4378, -2.9759]],
  "species": ["Ho", "Ho", "Ho", "Ho", "Ho", "Ho", "Ho", "Ho", "Sc", "Sc", "Rh", "Rh", "Rh", "Rh", "Rh", "Rh"],
  "fractional_positions": [[0.0810, 0.7871, 0.8681], [0.2129, 0.0810, 0.2939], [0.2871, 0.5810, 0.8681], [0.4190, 0.2871, 0.7061], [0.5810, 0.7129, 0.2939], [0.7129, 0.4190, 0.1319], [0.7871, 0.9190, 0.7061], [0.9190, 0.2129, 0.1319], [0.2500, 0.7500, 0.5000], [0.7500, 0.2500, 0.5000], [0.1503, 0.3497, 0.5000], [0.2500, 0.2500, 0.0000], [0.3497, 0.8497, 0.1993], [0.6503, 0.1503, 0.8007], [0.7500, 0.7500, 0.0000], [0.8497, 0.6503, 0.5000]],
  "sg": "No. 140",
  "ef_ev_per_fu": -5.89
}


16.
{
  "formula": "FeRuRh2",
  "functional": "PBE",
  "state": "relaxed",
  "lattice_angstrom": [[3.7896, 0.0000, 0.0000], [0.0000, 3.7896, 0.0000], [0.0000, 0.0000, 7.5920]],
  "species": ["Fe", "Fe", "Ru", "Ru", "Rh", "Rh", "Rh", "Rh"],
  "fractional_positions": [[0.0000, 0.0000, 0.0000], [0.5000, 0.5000, 0.5000], [0.0000, 0.5000, 0.7500], [0.5000, 0.0000, 0.2500], [0.0000, 0.0000, 0.5000], [0.0000, 0.5000, 0.2500], [0.5000, 0.0000, 0.7500], [0.5000, 0.5000, 0.0000]],
  "sg": "No. 119",
  "ef_ev_per_fu": 0.16
}


17.
{
  "formula": "Cr2TeW",
  "functional": "PBE",
  "state": "relaxed",
  "lattice_angstrom": [[3.2998, 0.0000, 0.0000], [0.0000, 4.3600, 0.0000], [0.0000, 0.0000, 8.3997]],
  "species": ["Cr", "Cr", "Cr", "Cr", "Te", "Te", "W", "W"],
  "fractional_positions": [[0.0000, 0.0000, 0.2489], [0.0000, 0.0000, 0.7511], [0.5000, 0.5000, 0.2511], [0.5000, 0.5000, 0.7489], [0.0000, 0.5000, 0.0000], [0.5000, 0.0000, 0.5000], [0.0000, 0.5000, 0.5000], [0.5000, 0.0000, 0.0000]],
  "e_form_raw_mev_per_atom": 630.0,
  "sg": "No. 71"
}


18.
{
  "formula": "BaCa3Pd",
  "functional": "PBE",
  "state": "relaxed",
  "lattice_angstrom": [[5.2435, 3.0274, 4.0869], [-5.2435, 3.0274, 4.0869], [0.0000, -6.0547, 4.0869]],
  "species": ["Ba", "Ba", "Ca", "Ca", "Ca", "Ca", "Ca", "Ca", "Pd", "Pd"],
  "fractional_positions": [[0.0000, 0.0000, 0.0000], [0.5000, 0.5000, 0.5000], [0.0270, 0.7500, 0.4730], [0.2500, 0.5270, 0.9730], [0.4730, 0.0270, 0.7500], [0.5270, 0.9730, 0.2500], [0.7500, 0.4730, 0.0270], [0.9730, 0.2500, 0.5270], [0.2500, 0.2500, 0.2500], [0.7500, 0.7500, 0.7500]],
  "sg": "No. 167",
  "ef_ev_per_fu": -0.86,
  "polymorph_energy_ev_per_atom": 0.140
}


19.
{
  "formula": "ErB4Ir8",
  "functional": "PBE",
  "state": "relaxed",
  "lattice_angstrom": [[2.7328, 1.5778, 7.9160], [-2.7328, 1.5778, 7.9160], [0.0000, -3.1556, 7.9160]],
  "species": ["Er", "B", "B", "B", "B", "Ir", "Ir", "Ir", "Ir", "Ir", "Ir", "Ir", "Ir"],
  "fractional_positions": [[0.0000, 0.0000, 0.0000], [0.0000, 0.0000, 0.5000], [0.0000, 0.5000, 0.0000], [0.5000, 0.0000, 0.0000], [0.5000, 0.5000, 0.5000], [0.2325, 0.2325, 0.2325], [0.2337, 0.7294, 0.7294], [0.2706, 0.2706, 0.7663], [0.2706, 0.7663, 0.2706], [0.7294, 0.2337, 0.7294], [0.7294, 0.7294, 0.2337], [0.7663, 0.2706, 0.2706], [0.7675, 0.7675, 0.7675]],
  "sg": "No. 166",
  "ef_ev_per_fu": -0.69
}


20.
{
  "formula": "MgSiRu4",
  "functional": "PBE",
  "state": "relaxed",
  "lattice_angstrom": [[0.0000, 3.6063, 3.6063], [3.6063, 0.0000, 3.6063], [3.6063, 3.6063, 0.0000]],
  "species": ["Mg", "Si", "Ru", "Ru", "Ru", "Ru"],
  "fractional_positions": [[0.0000, 0.0000, 0.0000], [0.2500, 0.2500, 0.2500], [0.1263, 0.6246, 0.6246], [0.6246, 0.1263, 0.6246], [0.6246, 0.6246, 0.1263], [0.6246, 0.6246, 0.6246]],
  "e_form_raw_mev_per_atom": 419.3,
  "sg": "No. 216"
}